Record 1
DFT (PBE) results for a relaxed structure of AlV3Ni.

Lattice parameters (Å, degrees): 5.036 4.145 6.433 90.00 103.64 90.00
Fractional positions:
1 Al 0.238 0.250 0.242
2 Al 0.762 0.750 0.758
3 V 0.163 0.750 0.547
4 V 0.341 0.750 0.955
5 V 0.446 0.250 0.658
6 V 0.554 0.750 0.342
7 V 0.659 0.250 0.045
8 V 0.837 0.250 0.453
9 Ni 0.055 0.250 0.849
10 Ni 0.945 0.750 0.151

Calculated values
DOS at the Fermi energy ... 12.3 states/eV per cell
VASP energy ... -7.58 eV/atom
Energy relative to the lowest polymorph listed for this composition ... 0.0 meV/atom


Record 2
DFT (PBE) results for a relaxed structure of Ac6Pm5Er.

Lattice parameters (Å, degrees): 10.090 10.090 6.501 92.26 92.26 44.99
Fractional positions:
1 Ac 0.084 0.584 0.336
2 Ac 0.249 0.751 0.000
3 Ac 0.416 0.916 0.664
4 Ac 0.584 0.084 0.336
5 Ac 0.751 0.249 0.000
6 Ac 0.916 0.416 0.664
7 Pm 0.166 0.166 0.166
8 Pm 0.333 0.333 0.836
9 Pm 0.500 0.500 0.500
10 Pm 0.667 0.667 0.164
11 Pm 0.834 0.834 0.834
12 Er 0.000 0.000 0.500

Calculated values
DOS at the Fermi energy ... 18.1 states/eV per cell
VASP energy ... -4.38 eV/atom


Record 3
DFT (PBE) results for a relaxed structure of PuCd3Pd12.

Lattice parameters (Å, degrees): 4.081 4.081 16.085 90.00 90.00 90.00
Fractional positions:
1 Pu 0.000 0.000 0.000
2 Cd 0.000 0.000 0.254
3 Cd 0.000 0.000 0.500
4 Cd 0.000 0.000 0.746
5 Pd 0.000 0.500 0.128
6 Pd 0.000 0.500 0.377
7 Pd 0.000 0.500 0.623
8 Pd 0.000 0.500 0.872
9 Pd 0.500 0.000 0.128
10 Pd 0.500 0.000 0.377
11 Pd 0.500 0.000 0.623
12 Pd 0.500 0.000 0.872
13 Pd 0.500 0.500 0.000
14 Pd 0.500 0.500 0.253
15 Pd 0.500 0.500 0.500
16 Pd 0.500 0.500 0.747

Calculated values
DOS at the Fermi energy ... 28.2 states/eV per cell
VASP energy ... -5.28 eV/atom


Record 4
DFT (PBE) results for a relaxed structure of SnBi2N2.

Lattice parameters (Å, degrees): 4.078 4.078 13.234 90.00 90.00 90.00
Fractional positions:
1 Sn 0.000 0.000 0.000
2 Sn 0.500 0.500 0.500
3 Bi 0.000 0.000 0.334
4 Bi 0.000 0.000 0.666
5 Bi 0.500 0.500 0.166
6 Bi 0.500 0.500 0.834
7 N 0.000 0.500 0.250
8 N 0.000 0.500 0.750
9 N 0.500 0.000 0.250
10 N 0.500 0.000 0.750

Calculated values
DOS at the Fermi energy ... 6.5 states/eV per cell
VASP energy ... -4.90 eV/atom
Uncorrected formation energy ... 785 meV per atom
Energy relative to the lowest polymorph listed for this composition ... 0.0 meV/atom


no.,size of the total moment (Bohr magnetons per cell)
1,0.00
2,0.00
3,4.10
4,0.00